## VBiO3 (PBE with a Hubbard U)

Data for a relaxed structure of VBiO3.

Cell lengths 5.522, 6.682, 7.490 Å; angles 99.52, 90.00, 90.00 degrees
Each line ends with the local moment (μB).
Fractional positions:
Bi 0.778 0.655 0.652  0.03
O 0.848 0.356 0.431  -0.03
O 0.152 0.644 0.569  -0.03
V 0.757 0.077 0.934  1.92
V 0.257 0.923 0.566  1.92
Bi 0.278 0.345 0.848  0.03
O 0.597 0.017 0.171  -0.03
O 0.583 0.799 0.445  -0.01
O 0.903 0.017 0.671  -0.03
V 0.243 0.923 0.066  1.92
Bi 0.722 0.655 0.152  0.03
O 0.652 0.356 0.931  -0.03
O 0.917 0.799 0.945  -0.01
O 0.097 0.983 0.329  -0.03
V 0.743 0.077 0.434  1.92
O 0.348 0.644 0.069  -0.03
O 0.403 0.983 0.829  -0.03
O 0.083 0.201 0.055  -0.01
Bi 0.222 0.345 0.348  0.03
O 0.417 0.201 0.555  -0.01

Calculated values
Density of states at the Fermi level   0.00 states/eV/cell
Size of the total moment   2.000 μB per formula unit
DFT total energy   -6.858 eV/atom

## V2BiO4 (PBE with a Hubbard U)

Data for a relaxed structure of V2BiO4.

Cell lengths 6.467, 6.319, 6.431 Å; angles 121.85, 115.71, 92.11 degrees
Each line ends with the local moment (μB).
Fractional positions:
Bi 0.014 0.021 0.007  0.06
O 0.387 0.159 0.776  -0.01
O 0.812 0.612 0.191  -0.02
O 0.832 0.137 0.704  -0.01
O 0.438 0.137 0.309  -0.02
Bi 0.236 0.729 0.493  0.06
V 0.625 0.875 0.250  1.94
V 0.625 0.375 0.750  1.95
V 0.125 0.375 0.750  2.68
O 0.393 0.619 0.224  -0.02
V 0.625 0.375 0.250  2.64
O 0.857 0.131 0.276  -0.02
O 0.418 0.613 0.796  -0.01
O 0.863 0.591 0.724  -0.01

Calculated values
Size of the total moment   5.000 μB per formula unit
DFT total energy   -7.153 eV/atom

## V2BiO6 (PBE with a Hubbard U)

Data for a relaxed structure of V2BiO6.

Cell lengths 3.752, 5.160, 6.947 Å; angles 70.32, 74.33, 68.68 degrees
Each line ends with the local moment (μB).
Fractional positions:
O 0.663 0.303 0.371  -0.06
O 0.292 0.339 0.077  -0.07
V 0.178 0.755 0.888  0.66
O 0.022 0.139 0.817  -0.06
O 0.978 0.861 0.183  -0.06
O 0.337 0.697 0.629  -0.06
Bi 0.000 0.500 0.500  0.02
O 0.708 0.661 0.923  -0.07
V 0.822 0.245 0.112  0.66

Calculated values
Density of states at the Fermi level   2.03 states/eV/cell
Size of the total moment   1.000 μB per formula unit
DFT total energy   -7.119 eV/atom

## VBi2O5 (PBE with a Hubbard U)

Data for a relaxed structure of VBi2O5.

Cell lengths 7.053, 8.703, 10.271 Å; angles 72.23, 69.92, 66.09 degrees
Each line ends with the local moment (μB).
Fractional positions:
O 0.550 0.796 0.820  -0.01
Bi 0.211 0.596 0.484  0.01
O 0.176 0.921 0.326  -0.02
O 0.577 0.421 0.826  -0.02
V 0.705 0.574 0.805  0.98
O 0.072 0.942 0.872  -0.01
Bi 0.789 0.404 0.516  0.01
Bi 0.758 0.567 0.154  0.02
Bi 0.242 0.433 0.846  0.02
V 0.084 0.926 0.695  0.98
O 0.278 0.014 0.557  -0.01
O 0.417 0.366 0.598  0.00
O 0.150 0.514 0.057  -0.01
O 0.450 0.204 0.180  -0.01
V 0.295 0.426 0.195  0.98
O 0.114 0.442 0.372  -0.01
Bi 0.521 0.067 0.654  0.02
O 0.423 0.579 0.174  -0.02
O 0.850 0.486 0.943  -0.01
O 0.619 0.866 0.098  0.00
Bi 0.479 0.933 0.346  0.02
O 0.824 0.079 0.674  -0.02
O 0.583 0.634 0.402  0.00
O 0.381 0.134 0.902  0.00
V 0.916 0.074 0.305  0.98
O 0.722 0.986 0.443  -0.01
Bi 0.709 0.096 0.984  0.01
O 0.834 0.296 0.320  -0.01
O 0.886 0.558 0.628  -0.01
O 0.928 0.058 0.128  -0.01
O 0.166 0.704 0.680  -0.01
Bi 0.291 0.904 0.016  0.01

Calculated values
Size of the total moment   1.000 μB per formula unit
DFT total energy   -6.489 eV/atom

## VBi3O6 (PBE with a Hubbard U)

Data for a relaxed structure of VBi3O6.

Cell lengths 6.836, 6.836, 6.836 Å; angles 95.05, 95.05, 95.05 degrees
Each line ends with the local moment (μB).
Fractional positions:
O 0.056 0.297 0.952  -0.03
O 0.952 0.056 0.297  -0.03
O 0.944 0.703 0.048  -0.03
Bi 0.084 0.252 0.560  0.01
O 0.790 0.467 0.596  -0.01
Bi 0.916 0.748 0.440  0.01
Bi 0.440 0.916 0.748  0.01
O 0.467 0.596 0.790  -0.01
O 0.048 0.944 0.703  -0.03
O 0.533 0.404 0.210  -0.01
O 0.404 0.210 0.533  -0.01
O 0.596 0.790 0.467  -0.01
Bi 0.560 0.084 0.252  0.01
Bi 0.252 0.560 0.084  0.01
O 0.210 0.533 0.404  -0.01
O 0.297 0.952 0.056  -0.03
O 0.703 0.048 0.944  -0.03
Bi 0.748 0.440 0.916  0.01
V 0.500 0.500 0.500  1.89
V 0.000 0.000 0.000  2.00

Calculated values
Density of states at the Fermi level   5.21 states/eV/cell
Size of the total moment   2.000 μB per formula unit
DFT total energy   -6.274 eV/atom

## V2BiO2 (PBE with a Hubbard U)

Data for a relaxed structure of V2BiO2.

Cell lengths 7.696, 7.696, 7.696 Å; angles 114.02, 114.02, 100.70 degrees
Each line ends with the local moment (μB).
Fractional positions:
O 0.643 0.490 0.847  -0.04
O 0.107 0.455 0.347  -0.04
O 0.205 0.357 0.847  -0.04
Bi 0.375 0.125 0.250  -0.25
O 0.510 0.357 0.153  -0.04
V 0.251 0.076 0.825  2.50
V 0.826 0.501 0.325  2.50
V 0.574 0.749 0.825  2.50
O 0.240 0.893 0.347  -0.04
V 0.499 0.824 0.325  2.50
V 0.176 0.501 0.675  2.50
Bi 0.875 0.125 0.750  -0.25
Bi 0.875 0.125 0.250  -0.25
O 0.545 0.893 0.653  -0.04
V 0.924 0.749 0.175  2.50
V 0.251 0.426 0.175  2.50
V 0.499 0.174 0.675  2.50
Bi 0.875 0.625 0.750  -0.25
O 0.107 0.760 0.653  -0.04
O 0.643 0.795 0.153  -0.04

Calculated values
Density of states at the Fermi level   8.31 states/eV/cell
Size of the total moment   5.164 μB per formula unit
DFT total energy   -6.164 eV/atom

## VBiO2 (PBE with a Hubbard U)

Data for a relaxed structure of VBiO2.

Cell lengths 7.664, 7.664, 7.664 Å; angles 130.83, 130.83, 72.08 degrees
Each line ends with the local moment (μB).
Fractional positions:
O 0.141 0.428 0.713  0.03
Bi 0.875 0.625 0.250  0.02
O 0.714 0.428 0.287  0.03
Bi 0.375 0.625 0.250  0.02
O 0.036 0.822 0.213  0.03
V 0.875 0.625 0.750  2.76
O 0.572 0.859 0.287  0.03
O 0.609 0.822 0.787  0.03
V 0.875 0.125 0.750  2.76
V 0.875 0.125 0.250  2.76
O 0.572 0.286 0.713  0.03
Bi 0.375 0.125 0.750  0.02
V 0.375 0.125 0.250  2.76
O 0.178 0.964 0.787  0.03
Bi 0.375 0.625 0.750  0.02
O 0.178 0.391 0.213  0.03

Calculated values
Density of states at the Fermi level   3.28 states/eV/cell
Size of the total moment   3.320 μB per formula unit
DFT total energy   -6.144 eV/atom

## VBiO3 (PBE with a Hubbard U)

Data for a relaxed structure of VBiO3.

Cell lengths 5.508, 5.774, 7.866 Å; angles 90.00, 90.05, 90.00 degrees
Each line ends with the local moment (μB).
Fractional positions:
V 0.000 0.500 0.000  1.90
Bi 0.988 0.047 0.255  0.02
O 0.806 0.797 0.052  -0.01
V 0.500 0.000 0.500  1.90
O 0.684 0.302 0.045  -0.01
O 0.306 0.703 0.552  -0.01
Bi 0.012 0.953 0.745  0.02
V 0.500 0.000 0.000  1.91
O 0.101 0.469 0.248  -0.02
V 0.000 0.500 0.500  1.91
O 0.601 0.031 0.748  -0.02
Bi 0.512 0.547 0.245  0.02
O 0.694 0.297 0.448  -0.01
O 0.194 0.203 0.948  -0.01
O 0.899 0.531 0.752  -0.02
O 0.816 0.802 0.455  -0.01
O 0.316 0.698 0.955  -0.01
O 0.399 0.969 0.252  -0.02
O 0.184 0.198 0.545  -0.01
Bi 0.488 0.453 0.755  0.02

Calculated values
Size of the total moment   2.000 μB per formula unit
DFT total energy   -6.883 eV/atom

## VBi2O5 (PBE with a Hubbard U)

Data for a relaxed structure of VBi2O5.

Cell lengths 5.608, 5.609, 6.102 Å; angles 114.22, 119.16, 91.36 degrees
Each line ends with the local moment (μB).
Fractional positions:
V 0.964 0.984 0.947  1.03
O 0.284 0.277 0.103  -0.02
O 0.264 0.804 0.069  -0.02
Bi 0.671 0.131 0.322  0.03
O 0.747 0.831 0.577  -0.06
O 0.826 0.819 0.103  -0.02
O 0.830 0.280 0.110  -0.02
Bi 0.191 0.651 0.322  0.03

Calculated values
Size of the total moment   1.000 μB per formula unit
DFT total energy   -6.485 eV/atom

## V2BiO7 (PBE with a Hubbard U)

Data for a relaxed structure of V2BiO7.

Cell lengths 3.638, 5.826, 5.826 Å; angles 116.56, 90.00, 90.00 degrees
Each line ends with the local moment (μB).
Fractional positions:
O 0.500 0.946 0.675  0.08
O 0.500 0.054 0.325  0.08
O 0.500 0.500 0.500  0.52
V 0.500 0.695 0.305  -0.03
O 0.500 0.675 0.946  0.08
O 0.000 0.710 0.290  0.01
O 0.000 0.290 0.710  0.01
V 0.500 0.305 0.695  -0.03
Bi 0.000 0.000 0.000  -0.01
O 0.500 0.325 0.054  0.08

Calculated values
Density of states at the Fermi level   1.48 states/eV/cell
Size of the total moment   0.946 μB per formula unit
DFT total energy   -6.707 eV/atom

## VBiO2 (PBE with a Hubbard U)

Data for a relaxed structure of VBiO2.

Cell lengths 7.002, 7.002, 7.002 Å; angles 26.92, 26.92, 26.92 degrees
Each line ends with the local moment (μB).
Fractional positions:
O 0.881 0.881 0.881  -0.02
O 0.119 0.119 0.119  -0.02
Bi 0.000 0.000 0.000  0.16
V 0.500 0.500 0.500  1.97

Calculated values
Density of states at the Fermi level   1.42 states/eV/cell
Size of the total moment   2.267 μB per formula unit
DFT total energy   -6.700 eV/atom

## VBiO2 (PBE with a Hubbard U)

Data for a relaxed structure of VBiO2.

Cell lengths 7.319, 7.319, 7.319 Å; angles 26.57, 26.57, 26.57 degrees
Each line ends with the local moment (μB).
Fractional positions:
O 0.913 0.913 0.913  -0.07
V 0.000 0.000 0.000  1.96
O 0.087 0.087 0.087  -0.07
Bi 0.500 0.500 0.500  -0.03

Calculated values
Density of states at the Fermi level   1.50 states/eV/cell
Size of the total moment   2.065 μB per formula unit
DFT total energy   -5.971 eV/atom

## V2BiWO8 (PBE with a Hubbard U)

Data for a relaxed structure of V2BiWO8.

Cell lengths 4.765, 4.763, 6.524 Å; angles 90.00, 90.00, 88.86 degrees
Each line ends with the local moment (μB).
Fractional positions:
V 0.500 0.500 0.749  1.61
O 0.332 0.331 0.500  -0.11
O 0.710 0.711 0.000  -0.03
O 0.290 0.289 0.000  -0.03
O 0.205 0.794 0.786  -0.04
O 0.205 0.794 0.214  -0.04
O 0.795 0.206 0.786  -0.04
O 0.668 0.669 0.500  -0.11
W 0.000 0.000 0.000  0.07
V 0.500 0.500 0.251  1.61
Bi 0.000 0.000 0.500  0.00
O 0.795 0.206 0.214  -0.04

Calculated values
Density of states at the Fermi level   1.31 states/eV/cell
Size of the total moment   3.016 μB per formula unit
DFT total energy   -7.255 eV/atom

## VBi2WO6 (PBE with a Hubbard U)

Data for a relaxed structure of VBi2WO6.

Cell lengths 5.689, 5.965, 8.040 Å; angles 90.00, 90.29, 90.00 degrees
Each line ends with the local moment (μB).
Fractional positions:
O 0.701 0.274 0.574  0.01
Bi 0.510 0.559 0.773  0.05
V 0.500 0.000 0.000  2.68
Bi 0.010 0.941 0.273  0.05
V 0.000 0.500 0.500  2.68
O 0.889 0.546 0.241  0.00
O 0.828 0.825 0.529  0.01
O 0.172 0.175 0.471  0.01
Bi 0.490 0.441 0.227  0.05
W 0.500 0.000 0.500  1.86
O 0.328 0.675 0.029  0.01
O 0.201 0.226 0.074  0.01
Bi 0.990 0.059 0.727  0.05
O 0.611 0.046 0.259  0.00
O 0.299 0.726 0.426  0.01
O 0.389 0.954 0.741  0.00
O 0.111 0.454 0.759  0.00
O 0.799 0.774 0.926  0.01
W 0.000 0.500 0.000  1.86
O 0.672 0.325 0.971  0.01

Calculated values
Size of the total moment   5.000 μB per formula unit
DFT total energy   -6.757 eV/atom

## VBi2WO8 (PBE with a Hubbard U)

Data for a relaxed structure of VBi2WO8.

Cell lengths 5.087, 5.084, 6.552 Å; angles 90.00, 90.00, 91.49 degrees
Each line ends with the local moment (μB).
Fractional positions:
O 0.278 0.277 0.000  -0.01
O 0.173 0.826 0.230  -0.01
O 0.722 0.723 0.000  -0.01
O 0.827 0.174 0.770  -0.01
O 0.256 0.254 0.500  -0.06
Bi 0.500 0.500 0.253  0.00
O 0.827 0.174 0.230  -0.01
W 0.000 0.000 0.000  0.01
O 0.173 0.826 0.770  -0.01
O 0.744 0.746 0.500  -0.06
V 0.000 0.000 0.500  1.11
Bi 0.500 0.500 0.747  0.00

Calculated values
Size of the total moment   0.991 μB per formula unit
DFT total energy   -6.772 eV/atom

## Y2VBiO6 (PBE with a Hubbard U)

Data for a relaxed structure of Y2VBiO6.

Cell lengths 5.420, 5.363, 5.363 Å; angles 90.00, 90.00, 90.00 degrees
Each line ends with the local moment (μB).
Fractional positions:
O 0.236 0.000 0.000  -0.03
V 0.589 0.000 0.000  1.82
O 0.127 0.500 0.500  0.01
Bi 0.547 0.500 0.500  0.04
O 0.748 0.237 0.237  -0.02
O 0.748 0.237 0.763  -0.02
O 0.748 0.763 0.237  -0.02
Y 0.977 0.500 0.000  0.03
Y 0.977 0.000 0.500  0.03
O 0.748 0.763 0.763  -0.02

Calculated values
Density of states at the Fermi level   4.18 states/eV/cell
Size of the total moment   2.011 μB per formula unit
DFT total energy   -7.624 eV/atom

## ZrV2BiO8 (PBE with a Hubbard U)

Data for a relaxed structure of ZrV2BiO8.

Cell lengths 5.997, 5.997, 5.997 Å; angles 106.41, 106.41, 115.78 degrees
Each line ends with the local moment (μB).
Fractional positions:
O 0.958 0.632 0.674  -0.01
O 0.332 0.523 0.191  0.00
V 0.750 0.250 0.500  0.96
O 0.332 0.141 0.809  0.00
Zr 0.250 0.750 0.500  0.02
O 0.477 0.668 0.809  0.00
V 0.500 0.500 0.000  0.03
O 0.859 0.668 0.191  0.00
O 0.958 0.283 0.326  -0.01
O 0.717 0.042 0.674  -0.01
Bi 0.000 0.000 0.000  0.00
O 0.368 0.042 0.326  -0.01

Calculated values
Size of the total moment   1.000 μB per formula unit
DFT total energy   -7.668 eV/atom

## BiWO4 (PBE with a Hubbard U)

Data for a relaxed structure of BiWO4.

Cell lengths 5.177, 5.872, 5.925 Å; angles 108.66, 90.00, 90.00 degrees
Each line ends with the local moment (μB).
Fractional positions:
O 0.782 0.687 0.883  0.02
Bi 0.000 0.500 0.500  0.01
O 0.850 0.107 0.316  -0.01
O 0.218 0.313 0.117  0.02
O 0.350 0.393 0.684  -0.01
O 0.650 0.607 0.316  -0.01
O 0.282 0.813 0.117  0.02
O 0.718 0.187 0.883  0.02
W 0.000 0.000 0.000  0.99
O 0.150 0.893 0.684  -0.01
Bi 0.500 0.000 0.500  0.01
W 0.500 0.500 0.000  0.99

Calculated values
Density of states at the Fermi level   0.00 states/eV/cell
Size of the total moment   1.000 μB per formula unit
DFT total energy   -6.830 eV/atom

## BiW2O (PBE with a Hubbard U)

Data for a relaxed structure of BiW2O.

Cell lengths 5.512, 5.512, 7.438 Å; angles 68.25, 68.25, 90.00 degrees
Each line ends with the local moment (μB).
Fractional positions:
Bi 0.000 0.000 0.000  -0.25
O 0.250 0.750 0.500  0.04
W 0.375 0.522 0.750  3.03
O 0.500 0.500 0.000  0.04
W 0.272 0.625 0.250  3.09
Bi 0.750 0.250 0.500  -0.25
W 0.478 0.125 0.250  3.09
W 0.875 0.728 0.750  3.03

Calculated values
Density of states at the Fermi level   1.58 states/eV/cell
Size of the total moment   6.948 μB per formula unit
DFT total energy   -5.417 eV/atom